Density functional theory data (GGA-PBE) for a relaxed Tm2Pt crystal.

abc: 7.059 4.718 8.669
angles: 90.00 90.00 90.00
Space group Pnma (No. 62)
One atom of each set of equivalent atoms:
Tm1 0.011 0.250 0.167 (multiplicity 4)
Tm2 0.144 0.250 0.579 (multiplicity 4)
Pt1 0.241 0.250 0.905 (multiplicity 4)

Properties
Total DFT energy (no corrections), eV/cell: -71.99
Energy relative to the elements, eV/atom: -1.00
Size of the total moment, μB per formula unit: 0.000
Calculated density, Mg/m³: 12.262

Density functional theory data (GGA-PBE) for a relaxed Tm7Pt3 crystal.

abc: 9.7422 9.7422 6.2154
angles: 90.00 90.00 120.00
Space group P6_3mc (No. 186)
One atom of each set of equivalent atoms:
Tm1 0.0799 0.5400 0.0000 (multiplicity 6)
Tm2 0.1267 0.2533 0.6912 (multiplicity 6)
Tm3 0.3333 0.6667 0.5020 (multiplicity 2)
Pt1 0.1899 0.3799 0.2648 (multiplicity 6)

Properties
Total DFT energy (no corrections), eV/cell: -116.36
Energy relative to the elements, eV/atom: -0.88
Size of the total moment, μB per formula unit: 1.742
Calculated density, Mg/m³: 11.492

Density functional theory data (GGA-PBE) for a relaxed TmPt2 crystal.

abc: 9.294 4.272 5.748
angles: 90.00 105.66 90.00
Space group C2/m (No. 12)
One atom of each set of equivalent atoms:
Tm1 0.144 0.000 0.300 (multiplicity 4)
Pt1 0.000 0.500 0.000 (multiplicity 2)
Pt2 0.000 0.500 0.500 (multiplicity 2)
Pt3 0.177 0.000 0.818 (multiplicity 4)

Properties
Total DFT energy (no corrections), eV/cell: -79.76
Energy relative to the elements, eV/atom: -1.13
Size of the total moment, μB per formula unit: 0.000
Calculated density, Mg/m³: 16.899

Density functional theory data (GGA-PBE) for a relaxed TmPt crystal.

abc: 5.684 5.684 5.684
angles: 90.00 90.00 90.00
Space group Fm-3m (No. 225)
One atom of each set of equivalent atoms:
Tm1 0.000 0.000 0.000 (multiplicity 4)
Pt1 0.000 0.000 0.500 (multiplicity 4)

Properties
Total DFT energy (no corrections), eV/cell: -51.32
Energy relative to the elements, eV/atom: -1.16
Size of the total moment, μB per formula unit: 0.000
Calculated density, Mg/m³: 13.168

Density functional theory data (GGA-PBE) for a relaxed Tm3Pt crystal.

abc: 3.612 5.173 10.898
angles: 90.00 90.00 90.00
Space group Immm (No. 71)
One atom of each set of equivalent atoms:
Tm1 0.000 0.000 0.000 (multiplicity 2)
Tm2 0.000 0.500 0.200 (multiplicity 4)
Pt1 0.000 0.000 0.500 (multiplicity 2)

Properties
Total DFT energy (no corrections), eV/cell: -44.25
Energy relative to the elements, eV/atom: -0.67
Size of the total moment, μB per formula unit: 0.000
Calculated density, Mg/m³: 11.447

Density functional theory data (GGA-PBE) for a relaxed TmPt crystal.

abc: 6.880 4.508 5.512
angles: 90.00 90.00 90.00
Space group Pnma (No. 62)
One atom of each set of equivalent atoms:
Tm1 0.182 0.250 0.142 (multiplicity 4)
Pt1 0.043 0.250 0.657 (multiplicity 4)

Properties
Total DFT energy (no corrections), eV/cell: -52.76
Energy relative to the elements, eV/atom: -1.34
Size of the total moment, μB per formula unit: 0.000
Calculated density, Mg/m³: 14.146

Density functional theory data (GGA-PBE) for a relaxed Tm3Pt crystal.

abc: 3.528 3.587 9.016
angles: 90.00 90.00 90.00
Space group Pmm2 (No. 25)
One atom of each set of equivalent atoms:
Tm1 0.000 0.000 0.000 (multiplicity 1)
Tm2 0.000 0.500 0.343 (multiplicity 1)
Tm3 0.500 0.500 0.724 (multiplicity 1)
Pt1 0.500 0.000 0.483 (multiplicity 1)

Properties
Total DFT energy (no corrections), eV/cell: -21.19
Energy relative to the elements, eV/atom: -0.43
Size of the total moment, μB per formula unit: 0.282
Calculated density, Mg/m³: 10.215

Density functional theory data (GGA-PBE) for a relaxed TmPt3 crystal.

abc: 4.091 4.091 4.091
angles: 90.00 90.00 90.00
Space group Pm-3m (No. 221)
One atom of each set of equivalent atoms:
Tm1 0.000 0.000 0.000 (multiplicity 1)
Pt1 0.000 0.500 0.500 (multiplicity 3)

Properties
Total DFT energy (no corrections), eV/cell: -26.96
Energy relative to the elements, eV/atom: -1.09
Size of the total moment, μB per formula unit: 0.000
Calculated density, Mg/m³: 18.291

Density functional theory data (GGA-PBE) for a relaxed Tm3Pt crystal.

abc: 11.459 11.459 6.261
angles: 90.00 90.00 90.00
Space group P4_2/n (No. 86, origin choice 2)
One atom of each set of equivalent atoms:
Tm1 0.038 0.905 0.209 (multiplicity 8)
Tm2 0.114 0.307 0.026 (multiplicity 8)
Tm3 0.118 0.838 0.703 (multiplicity 8)
Pt1 0.055 0.316 0.518 (multiplicity 8)

Properties
Total DFT energy (no corrections), eV/cell: -178.19
Energy relative to the elements, eV/atom: -0.70
Size of the total moment, μB per formula unit: 0.000
Calculated density, Mg/m³: 11.341

Density functional theory data (GGA-PBE) for a relaxed TmPt4 crystal.

abc: 4.266 5.743 14.015
angles: 90.00 90.00 90.00
Space group Imma (No. 74)
One atom of each set of equivalent atoms:
Tm1 0.000 0.250 0.106 (multiplicity 4)
Pt1 0.000 0.000 0.500 (multiplicity 4)
Pt2 0.000 0.012 0.694 (multiplicity 8)
Pt3 0.000 0.250 0.895 (multiplicity 4)

Properties
Total DFT energy (no corrections), eV/cell: -131.24
Energy relative to the elements, eV/atom: -0.83
Size of the total moment, μB per formula unit: 0.000
Calculated density, Mg/m³: 18.365

Density functional theory data (GGA-PBE) for a relaxed Tm3Pt crystal.

abc: 6.959 9.375 6.424
angles: 90.00 90.00 90.00
Space group Pnma (No. 62)
One atom of each set of equivalent atoms:
Tm1 0.025 0.250 0.126 (multiplicity 4)
Tm2 0.182 0.060 0.681 (multiplicity 8)
Pt1 0.108 0.750 0.455 (multiplicity 4)

Properties
Total DFT energy (no corrections), eV/cell: -89.82
Energy relative to the elements, eV/atom: -0.75
Size of the total moment, μB per formula unit: 0.000
Calculated density, Mg/m³: 11.125

Density functional theory data (GGA-PBE) for a relaxed TmPt3 crystal.

abc: 4.083 4.083 8.372
angles: 90.00 90.00 90.00
Space group I4/mmm (No. 139)
One atom of each set of equivalent atoms:
Tm1 0.000 0.000 0.000 (multiplicity 2)
Pt1 0.000 0.000 0.500 (multiplicity 2)
Pt2 0.000 0.500 0.250 (multiplicity 4)

Properties
Total DFT energy (no corrections), eV/cell: -52.61
Energy relative to the elements, eV/atom: -0.93
Size of the total moment, μB per formula unit: 0.000
Calculated density, Mg/m³: 17.944

Density functional theory data (GGA-PBE) for a relaxed TmPt4 crystal.

abc: 4.914 4.914 4.914
angles: 90.00 90.00 90.00
Space group Pm-3m (No. 221)
One atom of each set of equivalent atoms:
Tm1 0.000 0.000 0.000 (multiplicity 1)
Pt1 0.000 0.000 0.500 (multiplicity 3)
Pt2 0.500 0.500 0.500 (multiplicity 1)

Properties
Total DFT energy (no corrections), eV/cell: -23.00
Energy relative to the elements, eV/atom: 1.13
Size of the total moment, μB per formula unit: 0.000
Calculated density, Mg/m³: 13.285

Density functional theory data (GGA-PBE) for a relaxed TmPt2 crystal.

abc: 7.647 7.647 7.647
angles: 90.00 90.00 90.00
Space group Fd-3m (No. 227, origin choice 2)
One atom of each set of equivalent atoms:
Tm1 0.125 0.125 0.125 (multiplicity 8)
Pt1 0.000 0.000 0.500 (multiplicity 16)

Properties
Total DFT energy (no corrections), eV/cell: -159.40
Energy relative to the elements, eV/atom: -1.12
Size of the total moment, μB per formula unit: 0.000
Calculated density, Mg/m³: 16.612

Density functional theory data (GGA-PBE) for a relaxed TmPt2 crystal.

abc: 5.772 4.225 9.001
angles: 90.00 90.00 90.00
Space group Pnma (No. 62)
One atom of each set of equivalent atoms:
Tm1 0.151 0.250 0.108 (multiplicity 4)
Pt1 0.113 0.250 0.762 (multiplicity 4)
Pt2 0.138 0.250 0.427 (multiplicity 4)

Properties
Total DFT energy (no corrections), eV/cell: -79.73
Energy relative to the elements, eV/atom: -1.13
Size of the total moment, μB per formula unit: 0.000
Calculated density, Mg/m³: 16.921

Density functional theory data (GGA-PBE) for a relaxed Tm2UPt9 crystal.

abc: 4.119 4.119 12.288
angles: 90.00 90.00 90.00
Space group P4/mmm (No. 123)
One atom of each set of equivalent atoms:
Tm1 0.000 0.000 0.162 (multiplicity 2)
U1 0.000 0.000 0.500 (multiplicity 1)
Pt1 0.000 0.500 0.000 (multiplicity 2)
Pt2 0.000 0.500 0.335 (multiplicity 4)
Pt3 0.500 0.500 0.166 (multiplicity 2)
Pt4 0.500 0.500 0.500 (multiplicity 1)

Properties
Total DFT energy (no corrections), eV/cell: -86.61
Energy relative to the elements, eV/atom: -1.00
Size of the total moment, μB per formula unit: 1.204
Calculated density, Mg/m³: 18.570

Density functional theory data (GGA-PBE) for a relaxed TmUPt6 crystal.

abc: 4.123 4.123 8.236
angles: 90.00 90.00 90.00
Space group P4/mmm (No. 123)
One atom of each set of equivalent atoms:
Tm1 0.000 0.000 0.000 (multiplicity 1)
U1 0.000 0.000 0.500 (multiplicity 1)
Pt1 0.000 0.500 0.252 (multiplicity 4)
Pt2 0.500 0.500 0.000 (multiplicity 1)
Pt3 0.500 0.500 0.500 (multiplicity 1)

Properties
Total DFT energy (no corrections), eV/cell: -59.56
Energy relative to the elements, eV/atom: -0.95
Size of the total moment, μB per formula unit: 1.208
Calculated density, Mg/m³: 18.706

Density functional theory data (GGA-PBE) for a relaxed Tm3VPt12 crystal.

abc: 4.043 4.043 16.220
angles: 90.00 90.00 90.00
Space group P4/mmm (No. 123)
One atom of each set of equivalent atoms:
Tm1 0.000 0.000 0.000 (multiplicity 1)
Tm2 0.000 0.000 0.253 (multiplicity 2)
V1 0.000 0.000 0.500 (multiplicity 1)
Pt1 0.000 0.500 0.128 (multiplicity 4)
Pt2 0.000 0.500 0.386 (multiplicity 4)
Pt3 0.500 0.500 0.000 (multiplicity 1)
Pt4 0.500 0.500 0.257 (multiplicity 2)
Pt5 0.500 0.500 0.500 (multiplicity 1)

Properties
Total DFT energy (no corrections), eV/cell: -109.93
Energy relative to the elements, eV/atom: -0.93
Size of the total moment, μB per formula unit: 0.286
Calculated density, Mg/m³: 18.152

Density functional theory data (GGA-PBE) for a relaxed TmVPt crystal.

abc: 6.5383 6.5383 4.6250
angles: 90.00 90.00 120.00
Space group P-62m (No. 189)
One atom of each set of equivalent atoms:
Tm1 0.0000 0.5737 0.0000 (multiplicity 3)
V1 0.0000 0.2186 0.5000 (multiplicity 3)
Pt1 0.0000 0.0000 0.0000 (multiplicity 1)
Pt2 0.3333 0.6667 0.5000 (multiplicity 2)

Properties
Total DFT energy (no corrections), eV/cell: -64.54
Energy relative to the elements, eV/atom: -0.63
Size of the total moment, μB per formula unit: 0.000
Calculated density, Mg/m³: 12.073

Density functional theory data (GGA-PBE) for a relaxed TmVPt2 crystal.

abc: 4.3542 4.3542 13.9551
angles: 90.00 90.00 120.00
Space group R-3m (No. 166, hexagonal axes)
One atom of each set of equivalent atoms:
Tm1 0.0000 0.0000 0.0000 (multiplicity 3)
V1 0.0000 0.0000 0.5000 (multiplicity 3)
Pt1 0.0000 0.0000 0.2110 (multiplicity 6)

Properties
Total DFT energy (no corrections), eV/cell: -85.88
Energy relative to the elements, eV/atom: -0.74
Size of the total moment, μB per formula unit: 0.557
Calculated density, Mg/m³: 13.263